Crystalline AlTlSbTe2 at its relaxed geometry. Source: Alexandria via LeMat-Bulk, functional GGA-PBE.

Output
* ΔE_f (raw): 0.113 eV per atom
* total magnetization: 0.00 μB/f.u.
* ρ: 6.30 g cm⁻³
* raw total energy: -3.19 eV per atom

```
data_AlTlSbTe2
_chemical_formula_sum 'Al1 Tl1 Sb1 Te2'
_cell_length_a 5.509
_cell_length_b 5.509
_cell_length_c 5.283
_cell_angle_alpha 90.00
_cell_angle_beta 90.00
_cell_angle_gamma 90.00
_space_group_name_H-M_alt 'P 1'
_space_group_IT_number 1
loop_
_space_group_symop_operation_xyz
'x,y,z'
loop_
_atom_site_label
_atom_site_type_symbol
_atom_site_fract_x
_atom_site_fract_y
_atom_site_fract_z
Te1 Te 0.500 0.000 0.000
Te2 Te 0.000 0.500 0.000
Tl1 Tl 0.500 0.500 0.500
Sb1 Sb 0.000 0.000 0.500
Al1 Al 0.000 0.000 0.000
```